Material: K3DyGa2O6
Method: DFT, PBE-GGA
State: relaxed

Output
- DOS at the Fermi energy (states/eV per cell) = 0.000
- energy (eV/cell) = -67.70
- formation energy from raw total energies (meV per atom) = -2001
- density (g/cm3) = 3.685

Cell lengths 6.1311, 6.1311, 7.1324 Å; angles 90.00, 90.00, 120.00 degrees
Space group P-3m1 (No. 164)
Inequivalent atoms, fractional coordinates:
K 0.0000 0.0000 0.0000 [1 per cell]
K 0.3333 0.6667 0.7483 [2 per cell]
Dy 0.0000 0.0000 0.5000 [1 per cell]
Ga 0.3333 0.6667 0.2952 [2 per cell]
O 0.1655 0.3311 0.2954 [6 per cell]

---

Material: K2DyGaS4
Method: DFT, PBE-GGA
State: relaxed

Output
- energy (eV/cell) = -144.94
- formation energy from raw total energies (meV per atom) = -1238
- density (g/cm3) = 3.796

Cell lengths 11.461, 11.652, 7.940 Å; angles 90.00, 133.63, 90.00 degrees
Space group C2/c (No. 15)
Inequivalent atoms, fractional coordinates:
K 0.000 0.000 0.000 [4 per cell]
K 0.250 0.250 0.000 [4 per cell]
Dy 0.250 0.250 0.500 [4 per cell]
Ga 0.000 0.500 0.000 [4 per cell]
S 0.001 0.269 0.025 [8 per cell]
S 0.202 0.489 0.454 [8 per cell]